# 1
A geometry-optimized NpZn2PdO8 structure. Source: Alexandria, functional PBE.

## Properties
Total magnetic moment ... 0.865 μB per formula unit
Formation energy from raw total energies ... -1364 meV/atom
Mass density ... 6.85 g/cm3
Space group ... No. 65

Lattice parameters (Å, degrees): 4.8325 4.8266 6.2759 90.00 90.00 93.76
Last column: nearest neighbours and their distance in Å.
Element x y z (fractional)
Np 0.0000 0.0000 0.0000  6 O 1.98-2.06
Zn 0.5000 0.5000 0.7399  6 O 2.01-2.20
Zn 0.5000 0.5000 0.2601  6 O 2.01-2.20
Pd 0.0000 0.0000 0.5000  6 O 1.97-2.05
O 0.1871 0.8114 0.2507  1 Pd 2.05, 1 Np 2.06, 1 Zn 2.20
O 0.6994 0.7006 0.0000  1 Np 1.98, 2 Zn 2.10
O 0.8129 0.1886 0.2507  1 Pd 2.05, 1 Np 2.06, 1 Zn 2.20
O 0.8129 0.1886 0.7493  1 Pd 2.05, 1 Np 2.06, 1 Zn 2.20
O 0.3006 0.2994 0.0000  1 Np 1.98, 2 Zn 2.10
O 0.1871 0.8114 0.7493  1 Pd 2.05, 1 Np 2.06, 1 Zn 2.20
O 0.7003 0.7016 0.5000  1 Pd 1.97, 2 Zn 2.01
O 0.2997 0.2984 0.5000  1 Pd 1.97, 2 Zn 2.01



# 2
A geometry-optimized ZrNpPdO6 structure. Source: Alexandria, functional PBE.

## Properties
Total magnetic moment ... 1.004 μB per formula unit
Formation energy from raw total energies ... -2201 meV/atom
Mass density ... 7.10 g/cm3
Space group ... No. 163

Lattice parameters (Å, degrees): 5.6056 5.6056 9.1231 90.00 90.00 120.00
Last column: nearest neighbours and their distance in Å.
Element x y z (fractional)
Zr 0.3333 0.6667 0.2500  6 O 2.13
Zr 0.6667 0.3333 0.7500  6 O 2.13
Np 0.6667 0.3333 0.2500  6 O 2.07
Np 0.3333 0.6667 0.7500  6 O 2.07
Pd 0.0000 0.0000 0.0000  6 O 2.33
Pd 0.0000 0.0000 0.5000  6 O 2.33
O 0.6493 0.6410 0.1339  1 Np 2.07, 1 Zr 2.13
O 0.9917 0.3507 0.1339  1 Np 2.07, 1 Zr 2.13
O 0.3507 0.9917 0.6339  1 Np 2.07, 1 Zr 2.13
O 0.0083 0.6493 0.8661  1 Np 2.07, 1 Zr 2.13
O 0.3590 0.3507 0.3661  1 Np 2.07, 1 Zr 2.13
O 0.9917 0.6410 0.3661  1 Np 2.07, 1 Zr 2.13
O 0.6410 0.9917 0.8661  1 Np 2.07, 1 Zr 2.13
O 0.6493 0.0083 0.3661  1 Np 2.07, 1 Zr 2.13
O 0.0083 0.3590 0.6339  1 Np 2.07, 1 Zr 2.13
O 0.3590 0.0083 0.1339  1 Np 2.07, 1 Zr 2.13
O 0.6410 0.6493 0.6339  1 Np 2.07, 1 Zr 2.13
O 0.3507 0.3590 0.8661  1 Np 2.07, 1 Zr 2.13



# 3
A geometry-optimized Pm5Np2O12 structure. Source: Alexandria, functional PBE.

## Properties
Total magnetic moment ... 5.000 μB per formula unit
Formation energy from raw total energies ... -3241 meV/atom
Mass density ... 7.64 g/cm3
Space group ... No. 12

Lattice parameters (Å, degrees): 6.3459 7.1898 7.7487 105.73 90.00 116.19
Last column: nearest neighbours and their distance in Å.
Element x y z (fractional)
Pm 0.2981 0.5961 0.6338  7 O 2.37-2.56
Pm 0.3071 0.6141 0.1795  7 O 2.40-2.64
Pm 0.0000 0.0000 0.5000  6 O 2.32-2.49
Pm 0.6929 0.3859 0.8205  7 O 2.40-2.64
Pm 0.7019 0.4039 0.3662  7 O 2.37-2.56
Np 0.7566 0.0000 0.0000  6 O 2.09-2.22
Np 0.2434 0.0000 0.0000  6 O 2.09-2.22
O 0.9992 0.9983 0.2002  2 Np 2.19, 1 Pm 2.32
O 0.0983 0.6610 0.9115  1 Np 2.09
O 0.5627 0.6610 0.9115  1 Np 2.09
O 0.0959 0.6886 0.4260  4 Pm 2.37-2.49
O 0.5927 0.6886 0.4260  4 Pm 2.37-2.49
O 0.5019 0.0038 0.8058  2 Np 2.22, 1 Pm 2.43
O 0.4981 0.9962 0.1942  2 Np 2.22, 1 Pm 2.43
O 0.9041 0.3114 0.5740  4 Pm 2.37-2.49
O 0.4073 0.3114 0.5740  4 Pm 2.37-2.49
O 0.9017 0.3390 0.0885  1 Np 2.09
O 0.4373 0.3390 0.0885  1 Np 2.09
O 0.0008 0.0017 0.7998  2 Np 2.19, 1 Pm 2.32



# 4
A geometry-optimized Pm2NpO7 structure. Source: Alexandria, functional PBE.

## Properties
Total magnetic moment ... 1.032 μB per formula unit
Formation energy from raw total energies ... -2683 meV/atom
Mass density ... 8.50 g/cm3
Space group ... No. 15

Lattice parameters (Å, degrees): 6.1114 7.1783 7.1582 68.06 64.73 64.81
Last column: nearest neighbours and their distance in Å.
Element x y z (fractional)
Pm 0.6908 0.9106 0.7111  8 O 2.39-2.54
Pm 0.6876 0.4106 0.2111  8 O 2.39-2.54
Pm 0.3124 0.5894 0.7889  8 O 2.39-2.54
Pm 0.3092 0.0894 0.2889  8 O 2.39-2.54
Np 0.9808 0.2500 0.7500  7 O 2.10-2.21
Np 0.0192 0.7500 0.2500  7 O 2.10-2.21
O 0.7059 0.5352 0.8402  1 Np 2.14
O 0.9187 0.0352 0.3402  1 Np 2.14
O 0.2625 0.8721 0.9464  1 Np 2.15, 1 O 2.32
O 0.3594 0.2046 0.5495  1 Np 2.10
O 0.6192 0.2500 0.7500  1 Np 2.21, 2 O 2.32, 2 Pm 2.39
O 0.9191 0.3721 0.4464  1 Np 2.15, 1 O 2.32
O 0.1136 0.2954 0.9505  1 Np 2.10
O 0.8864 0.7046 0.0495  1 Np 2.10
O 0.0809 0.6279 0.5536  1 Np 2.15, 1 O 2.32
O 0.3808 0.7500 0.2500  1 Np 2.21, 2 O 2.32, 2 Pm 2.39
O 0.6406 0.7954 0.4505  1 Np 2.10
O 0.7375 0.1279 0.0536  1 Np 2.15, 1 O 2.32
O 0.0813 0.9648 0.6598  1 Np 2.14
O 0.2941 0.4648 0.1598  1 Np 2.14



# 5
A geometry-optimized Pm4Np6O19 structure. Source: Alexandria, functional PBE.

## Properties
Total magnetic moment ... 16.000 μB per formula unit
Formation energy from raw total energies ... -3032 meV/atom
Mass density ... 8.19 g/cm3
Space group ... No. 197

Lattice parameters (Å, degrees): 8.4700 8.4700 8.4700 109.47 109.47 109.47
Last column: nearest neighbours and their distance in Å.
Element x y z (fractional)
Pm 0.0000 0.0000 0.7113  4 O 2.28-2.45
Pm 0.0000 0.7113 0.0000  4 O 2.28-2.45
Pm 0.2888 0.2888 0.2888  4 O 2.28-2.45
Pm 0.7113 0.0000 0.0000  4 O 2.28-2.45
Np 0.3244 0.5000 0.8244  6 O 2.18-2.22
Np 0.6756 0.5000 0.1756  6 O 2.18-2.22
Np 0.1756 0.6756 0.5000  6 O 2.18-2.22
Np 0.8244 0.3244 0.5000  6 O 2.18-2.22
Np 0.5000 0.8244 0.3244  6 O 2.18-2.22
Np 0.5000 0.1756 0.6756  6 O 2.18-2.22
O 0.6417 0.0000 0.6417  2 Np 2.21
O 0.3583 0.0000 0.3583  2 Np 2.21
O 0.3583 0.3583 0.0000  2 Np 2.21
O 0.6417 0.6417 0.0000  2 Np 2.21
O 0.0000 0.6417 0.6417  2 Np 2.21
O 0.0000 0.3583 0.3583  2 Np 2.21
O 0.0000 0.0000 0.0000  4 Pm 2.45
O 0.3541 0.3317 0.5890  2 Np 2.18-2.22, 1 Pm 2.28
O 0.6459 0.2349 0.9775  2 Np 2.18-2.22, 1 Pm 2.28
O 0.7426 0.7651 0.4110  2 Np 2.18-2.22, 1 Pm 2.28
O 0.9775 0.6459 0.2349  2 Np 2.18-2.22, 1 Pm 2.28
O 0.2574 0.6683 0.0225  2 Np 2.18-2.22, 1 Pm 2.28
O 0.5890 0.3541 0.3317  2 Np 2.18-2.22, 1 Pm 2.28
O 0.0225 0.2574 0.6683  2 Np 2.18-2.22, 1 Pm 2.28
O 0.4110 0.7426 0.7651  2 Np 2.18-2.22, 1 Pm 2.28
O 0.6683 0.0225 0.2574  2 Np 2.18-2.22, 1 Pm 2.28
O 0.2349 0.9775 0.6459  2 Np 2.18-2.22, 1 Pm 2.28
O 0.3317 0.5890 0.3541  2 Np 2.18-2.22, 1 Pm 2.28
O 0.7651 0.4110 0.7426  2 Np 2.18-2.22, 1 Pm 2.28



# 6
A geometry-optimized Pm2NpO6 structure. Source: Alexandria, functional PBE.

## Properties
Total magnetic moment ... 1.000 μB per formula unit
Formation energy from raw total energies ... -3195 meV/atom
Mass density ... 6.50 g/cm3
Polymorph energy (0 for the lowest one) ... 0 meV per atom
Space group ... No. 58

Lattice parameters (Å, degrees): 5.8742 5.7093 9.4980 90.00 90.02 90.00
Last column: nearest neighbours and their distance in Å.
Element x y z (fractional)
Pm 0.9999 0.4996 0.7943  6 O 2.30-2.47
Pm 0.5001 0.9996 0.7057  6 O 2.30-2.47
Pm 0.4999 0.0004 0.2943  6 O 2.30-2.47
Pm 0.0001 0.5004 0.2057  6 O 2.30-2.47
Np 0.5000 0.5000 0.0000  6 O 2.01-2.12
Np 0.0000 0.0000 0.5000  6 O 2.01-2.12
O 0.8473 0.7974 0.3394  1 Np 2.11, 1 Pm 2.30
O 0.8474 0.7965 0.6603  1 Np 2.12, 1 Pm 2.30
O 0.8010 0.6663 0.9998  1 Np 2.01
O 0.6990 0.1663 0.5002  1 Np 2.01
O 0.6526 0.2965 0.8397  1 Np 2.12, 1 Pm 2.30
O 0.6527 0.2974 0.1606  1 Np 2.11, 1 Pm 2.30
O 0.1527 0.2026 0.6606  1 Np 2.11, 1 Pm 2.30
O 0.1526 0.2035 0.3397  1 Np 2.12, 1 Pm 2.30
O 0.1990 0.3337 0.0002  1 Np 2.01
O 0.3010 0.8337 0.4998  1 Np 2.01
O 0.3474 0.7035 0.1603  1 Np 2.12, 1 Pm 2.30
O 0.3473 0.7026 0.8394  1 Np 2.11, 1 Pm 2.30



# 7
A geometry-optimized PmNp2O7 structure. Source: Alexandria, functional PBE.

## Properties
Total magnetic moment ... 3.000 μB per formula unit
Formation energy from raw total energies ... -2968 meV/atom
Mass density ... 9.21 g/cm3
Space group ... No. 166

Lattice parameters (Å, degrees): 3.8356 3.8356 10.5745 79.55 79.55 60.00
Last column: nearest neighbours and their distance in Å.
Element x y z (fractional)
Pm 0.5000 0.5000 0.5000  8 O 2.41-2.46
Np 0.0664 0.0664 0.8007  8 O 2.06-2.31
Np 0.9336 0.9336 0.1993  8 O 2.06-2.31
O 0.7194 0.7194 0.8417  3 Np 2.25, 3 O 2.46
O 0.5795 0.5795 0.2616  3 Np 2.31, 3 O 2.46, 1 Pm 2.46
O 0.0000 0.0000 0.0000  2 Np 2.06
O 0.2806 0.2806 0.1583  3 Np 2.25, 3 O 2.46
O 0.1359 0.1359 0.5923  1 Np 2.16, 3 Pm 2.41
O 0.8641 0.8641 0.4077  1 Np 2.16, 3 Pm 2.41
O 0.4205 0.4205 0.7384  3 Np 2.31, 3 O 2.46, 1 Pm 2.46



# 8
A geometry-optimized PmNpO4 structure. Source: Alexandria, functional PBE.

## Properties
Total magnetic moment ... 2.000 μB per formula unit
Formation energy from raw total energies ... -3204 meV/atom
Mass density ... 9.09 g/cm3
Polymorph energy (0 for the lowest one) ... 25 meV per atom
Space group ... No. 14

Lattice parameters (Å, degrees): 5.4294 5.4294 5.5307 90.00 90.16 90.00
Last column: nearest neighbours and their distance in Å.
Element x y z (fractional)
Pm 0.0000 0.0000 0.0000  8 O 2.42
Pm 0.5000 0.5000 0.0000  8 O 2.42
Np 0.5000 0.0000 0.5000  4 O 2.13-2.14
Np 0.0000 0.5000 0.5000  4 O 2.13-2.14
O 0.7812 0.7197 0.2638  1 Np 2.13
O 0.7188 0.2197 0.7362  1 Np 2.13
O 0.2210 0.2800 0.2643  1 Np 2.14
O 0.2790 0.7800 0.7357  1 Np 2.14
O 0.2188 0.2803 0.7362  1 Np 2.13
O 0.2812 0.7803 0.2638  1 Np 2.13
O 0.7790 0.7200 0.7357  1 Np 2.14
O 0.7210 0.2200 0.2643  1 Np 2.14